# CsSmMnF6 PBE with a Hubbard U relaxed
data_CsSmMnF6
_chemical_formula_sum 'Cs4 Sm4 Mn4 F24'
_cell_length_a 7.634
_cell_length_b 7.965
_cell_length_c 10.761
_cell_angle_alpha 90.00
_cell_angle_beta 90.00
_cell_angle_gamma 90.00
_space_group_name_H-M_alt 'I m m a'
_space_group_IT_number 74
_space_group_name_Hall '-I 2b 2'
loop_
_atom_site_label
_atom_site_type_symbol
_atom_site_fract_x
_atom_site_fract_y
_atom_site_fract_z
_atom_site_occupancy
Cs1 Cs 0.000 0.250 0.098 1
Sm1 Sm 0.000 0.000 0.500 1
Mn1 Mn 0.250 0.250 0.750 1
F1 F 0.000 0.250 0.394 1
F2 F 0.000 0.250 0.656 1
F3 F 0.245 0.052 0.884 1
# Size of the total moment = 20.0 μB/cell
# Final energy = -216.20 eV for the cell shown

=====

# CsMnSn2F8 PBE with a Hubbard U relaxed
data_CsMnSn2F8
_chemical_formula_sum 'Cs1 Mn1 Sn2 F8'
_cell_length_a 5.082
_cell_length_b 5.307
_cell_length_c 8.559
_cell_angle_alpha 84.26
_cell_angle_beta 87.26
_cell_angle_gamma 88.20
_space_group_name_H-M_alt 'P -1'
_space_group_IT_number 2
loop_
_space_group_symop_operation_xyz
'x,y,z'
'-x,-y,-z'
loop_
_atom_site_label
_atom_site_type_symbol
_atom_site_fract_x
_atom_site_fract_y
_atom_site_fract_z
_atom_site_occupancy
Cs1 Cs 0.000 0.000 0.000 1
Mn1 Mn 0.000 0.000 0.500 1
Sn1 Sn 0.488 0.476 0.721 1
F1 F 0.194 0.830 0.342 1
F2 F 0.220 0.853 0.662 1
F3 F 0.266 0.416 0.112 1
F4 F 0.278 0.317 0.456 1
# Size of the total moment = 4.0 μB/cell
# Final energy = -60.53 eV for the cell shown

=====

# Cs2MnSnF6 PBE with a Hubbard U relaxed
data_Cs2MnSnF6
_chemical_formula_sum 'Cs2 Mn1 Sn1 F6'
_cell_length_a 4.631
_cell_length_b 4.631
_cell_length_c 9.172
_cell_angle_alpha 90.00
_cell_angle_beta 90.00
_cell_angle_gamma 90.00
_space_group_name_H-M_alt 'P 4/m m m'
_space_group_IT_number 123
_space_group_name_Hall '-P 4 2'
loop_
_atom_site_label
_atom_site_type_symbol
_atom_site_fract_x
_atom_site_fract_y
_atom_site_fract_z
_atom_site_occupancy
Cs1 Cs 0.000 0.000 0.233 1
Mn1 Mn 0.500 0.500 0.000 1
Sn1 Sn 0.500 0.500 0.500 1
F1 F 0.000 0.500 0.000 1
F2 F 0.000 0.500 0.500 1
F3 F 0.500 0.500 0.227 1
# Size of the total moment = 5.0 μB/cell
# Final energy = -50.35 eV for the cell shown